1.
{
  "formula": "Li2NiBiH",
  "functional": "PBE-GGA",
  "state": "optimized geometry",
  "lattice": [[4.067, 0.000, 0.000], [0.000, 4.067, 0.000], [0.000, 0.000, 3.930]],
  "species": ["Li", "Li", "Ni", "Bi", "H"],
  "frac_coords": [[0.000, 0.500, 0.000], [0.500, 0.000, 0.000], [0.000, 0.000, 0.500], [0.500, 0.500, 0.500], [0.000, 0.000, 0.000]],
  "final_energy_ev_per_atom": -3.585,
  "magnetic_moment_mub_per_atom": 0.000,
  "dos_at_fermi_per_ev_atom": 0.3256,
  "spacegroup": "No. 123"
}



2.
{
  "formula": "ZrCd2F",
  "functional": "PBE-GGA",
  "state": "optimized geometry",
  "lattice": [[0.000, 3.445, 3.445], [3.445, 0.000, 3.445], [3.445, 3.445, 0.000]],
  "species": ["Zr", "Cd", "Cd", "F"],
  "frac_coords": [[0.000, 0.000, 0.000], [0.250, 0.250, 0.250], [0.750, 0.750, 0.750], [0.500, 0.500, 0.500]],
  "final_energy_ev_per_atom": -3.225,
  "magnetic_moment_mub_per_atom": 0.000,
  "polymorph_energy_ev_per_atom": 0.3620,
  "dos_at_fermi_per_ev_atom": 0.9880,
  "spacegroup": "No. 225",
  "e_form_raw_kj_per_mol_atoms": -16
}